SrIr | SCAN | single point on PBEsol structure

abc: 4.3068 4.3068 8.4172
angles: 104.93 104.93 59.08
Atoms (fractional coordinates):
1 Sr 0.0827 0.0827 0.2484
2 Sr 0.9173 0.9173 0.7516
3 Ir 0.3368 0.3368 0.9997
4 Ir 0.6632 0.6632 0.0003

The calculation puts the formation enthalpy at 0 K at -0.408 eV/atom. The total energy comes out at -1.7307 hartree per atom. The space group is C2/m (12).